1.
Density functional theory data (GGA-PBE) for CuTcIrW after structural relaxation.

Summary:
Symmetry: F-43m
ΔH_f (0 K), meV per atom: 40.3

POSCAR file:
```
CuTcIrW
1.0
0.0000 3.0707 3.0707
3.0707 0.0000 3.0707
3.0707 3.0707 0.0000
Cu Tc Ir W
1 1 1 1
Cartesian
0.0000 0.0000 0.0000
1.5354 1.5354 1.5354
4.6061 4.6061 4.6061
3.0707 3.0707 3.0707
```

2.
Density functional theory data (GGA-PBE) for Pr9Sm3Y2 after structural relaxation.

Summary:
Symmetry: P6_3/m
ΔH_f (0 K), meV per atom: 222.0

POSCAR file:
```
Pr9Sm3Y2
1.0
9.1589 0.0000 0.0000
-4.5794 7.9318 0.0000
0.0000 0.0000 14.1982
Pr Sm Y
18 6 4
Cartesian
-1.4731 3.8126 3.5496
-2.1193 5.7611 0.6068
-2.1193 5.7611 6.4923
0.6498 3.2159 0.6068
0.6498 3.2159 6.4923
-0.5411 7.3013 3.5496
3.1099 1.0452 7.7060
3.1099 1.0452 13.5914
2.5653 3.1821 10.6487
2.0142 4.7498 3.5496
1.4695 6.8867 0.6068
1.4695 6.8867 6.4923
5.1205 0.6306 10.6487
3.9296 4.7160 7.7060
3.9296 4.7160 13.5914
6.6988 2.1707 7.7060
6.6988 2.1707 13.5914
6.0526 4.1192 10.6487
-0.4051 1.9795 10.6487
-2.6626 7.2929 10.6487
1.5117 1.3406 3.5496
3.0677 6.5912 10.6487
7.2420 0.6389 3.5496
4.9846 5.9523 3.5496
0.0000 5.2879 9.1137
0.0000 5.2879 12.1836
4.5794 2.6439 2.0146
4.5794 2.6439 5.0845
```

3.
Density functional theory data (GGA-PBE) for Sm2H5Rh2 after structural relaxation.

Summary:
Symmetry: C2/m

POSCAR file:
```
Sm2H5Rh2
1.0
7.8595 -2.5877 0.0000
7.8595 2.5877 0.0000
-1.7050 0.0000 4.9010
Sm H Rh
4 10 4
Cartesian
1.8187 0.0000 0.6356
5.1884 0.0000 1.8118
8.8256 0.0000 3.0891
12.1954 0.0000 4.2654
3.9298 1.2938 0.0000
0.9423 0.0000 3.0128
6.5588 1.2933 3.6677
7.4553 1.2933 1.2332
4.4030 0.0000 4.2216
3.9298 -1.2938 0.0000
9.6110 0.0000 0.6794
6.5588 -1.2933 3.6677
7.4553 -1.2933 1.2332
13.0717 0.0000 1.8881
-0.8525 0.0000 2.4505
2.6958 0.0000 3.5522
7.8595 0.0000 0.0000
11.3182 0.0000 1.3488
```

4.
Density functional theory data (GGA-PBE) for OsRh2 after structural relaxation.

Summary:
Symmetry: P-62m
Distance to the lowest polymorph of the same formula, meV/atom: 92
ΔH_f (0 K), meV per atom: 107.9

POSCAR file:
```
OsRh2
1.0
7.4195 0.0000 0.0000
-3.7097 6.4255 0.0000
0.0000 0.0000 2.7140
Os Rh
3 6
Cartesian
0.0000 0.0000 0.0000
0.0000 4.2836 1.3570
3.7098 2.1418 1.3570
-1.1072 1.9178 1.3570
-2.3513 4.0726 0.0000
2.2144 0.0000 1.3570
1.3584 2.3529 0.0000
4.7026 0.0000 0.0000
2.6025 4.5077 1.3570
```

5.
Density functional theory data (GGA-PBE) for Ba3PaCd2O8 after structural relaxation.

Summary:
Symmetry: P-3m1
ΔE_f (raw), eV per atom: -2.2305

POSCAR file:
```
Ba3PaCd2O8
1.0
6.1908 0.0000 0.0000
-3.0954 5.3614 0.0000
0.0000 0.0000 8.0568
Ba Pa Cd O
3 1 2 8
Cartesian
0.0000 0.0000 0.0000
0.0000 3.5743 5.0944
3.0954 1.7871 2.9624
0.0000 0.0000 4.0284
0.0000 3.5743 1.5152
3.0954 1.7871 6.5416
0.0000 1.7212 2.7336
-1.6048 4.5008 2.7336
1.4906 0.8606 5.3232
0.0000 3.5743 7.5232
3.0954 1.7871 0.5336
1.6048 4.5008 2.7336
4.7002 0.8606 5.3232
3.0954 3.6402 5.3232
```

6.
Density functional theory data (GGA-PBE) for BeCoSi3 after structural relaxation.

Summary:
Symmetry: Pm-3m
ΔE_f (raw), eV per atom: 0.6440
Distance to the lowest polymorph of the same formula, meV/atom: 0

POSCAR file:
```
BeCoSi3
1.0
4.3137 0.0000 0.0000
0.0000 4.3137 0.0000
0.0000 0.0000 4.3137
Be Co Si
1 1 3
Cartesian
0.0000 0.0000 0.0000
2.1569 2.1569 2.1569
0.0000 2.1569 2.1569
2.1569 0.0000 2.1569
2.1569 2.1569 0.0000
```

7.
Density functional theory data (GGA-PBE) for Fe2CoIr after structural relaxation.

Summary:
Symmetry: R-3m
ΔH_f (0 K), meV per atom: 72.7

POSCAR file:
```
Fe2CoIr
1.0
1.3294 0.7675 8.2519
-1.3294 0.7675 8.2519
0.0000 -1.5351 8.2519
Fe Co Ir
2 1 1
Cartesian
0.0000 0.0000 6.0864
0.0000 0.0000 18.6693
0.0000 0.0000 12.3779
0.0000 0.0000 0.0000
```

8.
Density functional theory data (GGA-PBE) for HoSnF after structural relaxation.

Summary:
Symmetry: R-3
ΔE_f (raw), eV per atom: -1.9350
Distance to the lowest polymorph of the same formula, meV/atom: 0

POSCAR file:
```
HoSnF
1.0
5.2278 3.0183 4.0791
-5.2278 3.0183 4.0791
0.0000 -6.0365 4.0791
Ho Sn F
6 6 6
Cartesian
-0.7432 -2.5067 4.8320
-1.7993 1.8970 4.8320
-2.5425 -0.6098 7.4053
2.5425 0.6098 4.8320
1.7993 -1.8970 7.4053
0.7432 2.5067 7.4053
-1.6902 0.4019 1.8010
0.4970 -1.6647 1.8010
1.1931 1.2628 1.8010
-1.1931 -1.2628 10.4363
-0.4971 1.6647 10.4363
1.6902 -0.4019 10.4363
-1.7576 -0.4723 5.1793
-0.4698 -1.7583 7.0580
1.2878 -1.2860 5.1793
-1.2878 1.2860 7.0580
0.4698 1.7583 5.1793
1.7576 0.4723 7.0580
```

9.
Density functional theory data (GGA-PBE) for HfMnPb after structural relaxation.

Summary:
Symmetry: C2/m
Distance to the lowest polymorph of the same formula, meV/atom: 135
ΔH_f (0 K), meV per atom: 138.1

POSCAR file:
```
HfMnPb
1.0
2.1790 -2.2639 0.0000
2.1790 2.2639 0.0000
-1.9252 0.0000 12.4905
Hf Mn Pb
2 2 2
Cartesian
0.0268 0.0000 3.9796
2.4061 0.0000 8.5109
0.0014 0.0000 6.8422
2.4315 0.0000 5.6483
0.2083 0.0000 10.9047
2.2245 0.0000 1.5858
```

10.
Density functional theory data (GGA-PBE) for Li2CaLa2Ga2 after structural relaxation.

Summary:
Symmetry: R-3m
ΔH_f (0 K), meV per atom: -285.5

POSCAR file:
```
Li2CaLa2Ga2
1.0
2.3623 1.3639 8.9993
-2.3623 1.3639 8.9993
0.0000 -2.7278 8.9993
Li Ca La Ga
2 1 2 2
Cartesian
0.0000 0.0000 2.8851
0.0000 0.0000 24.1127
0.0000 0.0000 13.4989
0.0000 0.0000 9.9257
0.0000 0.0000 17.0721
0.0000 0.0000 6.4667
0.0000 0.0000 20.5310
```

11.
Density functional theory data (GGA-PBE) for V7Pt16Rh6 after structural relaxation.

Summary:
Symmetry: Fm-3m
ΔH_f (0 K), meV per atom: -208.5

POSCAR file:
```
V7Pt16Rh6
1.0
0.0000 6.0817 6.0817
6.0817 0.0000 6.0817
6.0817 6.0817 0.0000
V Pt Rh
7 16 6
Cartesian
0.0000 0.0000 0.0000
3.0409 3.0409 0.0000
3.0409 0.0000 3.0409
6.0817 3.0409 3.0409
0.0000 3.0409 3.0409
3.0409 6.0817 3.0409
3.0409 3.0409 6.0817
8.0238 4.1396 4.1396
1.4395 1.4395 1.4395
4.6422 4.6422 1.4395
4.6422 1.4395 4.6422
4.1396 4.1396 4.1396
8.0238 8.0238 4.1396
8.0238 4.1396 8.0238
10.7239 7.5213 7.5213
1.4395 4.6422 4.6422
4.1396 8.0238 4.1396
4.1396 4.1396 8.0238
8.0238 8.0238 8.0238
7.5213 10.7239 7.5213
7.5213 7.5213 10.7239
10.7239 10.7239 10.7239
4.1396 8.0238 8.0238
6.0817 6.0817 3.7051
6.0817 3.7051 6.0817
8.4583 6.0817 6.0817
3.7051 6.0817 6.0817
6.0817 8.4583 6.0817
6.0817 6.0817 8.4583
```

12.
Density functional theory data (GGA-PBE) for Cd3WS after structural relaxation.

Summary:
Symmetry: Pm-3m
ΔE_f (raw), eV per atom: 1.4334
Distance to the lowest polymorph of the same formula, meV/atom: 108

POSCAR file:
```
Cd3WS
1.0
5.4103 0.0000 0.0000
0.0000 5.4103 0.0000
0.0000 0.0000 5.4103
Cd W S
3 1 1
Cartesian
0.0000 0.0000 2.7051
0.0000 2.7051 0.0000
2.7051 0.0000 0.0000
0.0000 0.0000 0.0000
2.7051 2.7051 2.7051
```

no.,final energy (eV per atom),M_tot (μB/f.u.)
1,-9.03,0.0
2,-4.79,0.0
3,-5.13,0.0
4,-8.54,0.0
5,-6.28,0.8
6,-4.78,0.0
7,-8.15,7.0
8,-5.42,0.0
9,-7.47,0.0
10,-3.39,0.0
11,-7.26,0.0
12,-2.53,2.8